The following is a PBE-GGA calculation of an optimized crystal structure of PmEr2InAu4, from the Alexandria database.

As for the density of states at the Fermi level: 0.59 states/eV per atom. For the formation energy, the calculation gives -0.75 eV/atom. For the electronic total energy, the calculation gives -4.4699 eV per atom.

The space group is R-3m (No. 166, hexagonal axes) and the conventional cell measures 5.0216, 5.0216 and 25.0823 Å, with angles of 90.00, 90.00 and 120.00 degrees. The asymmetric unit holds Pm at (0.0000, 0.0000, 0.0000), Er at (0.0000, 0.0000, 0.2420), In at (0.0000, 0.0000, 0.5000), Au at (0.0000, 0.0000, 0.1206) and Au at (0.0000, 0.0000, 0.3699).